Entry from Alexandria via LeMat-Bulk: CsNdV2O8 after structural relaxation (PBE with a Hubbard U).

abc: 6.029 6.029 8.617
angles: 90.00 90.00 120.00
Fractional coordinates of all 12 atoms:
1 Cs 0.000 0.000 0.000
2 Nd 0.000 0.000 0.500
3 V 0.333 0.667 0.737
4 V 0.667 0.333 0.263
5 O 0.173 0.351 0.671
6 O 0.178 0.827 0.671
7 O 0.333 0.667 0.936
8 O 0.351 0.178 0.329
9 O 0.649 0.822 0.671
10 O 0.667 0.333 0.064
11 O 0.822 0.173 0.329
12 O 0.827 0.649 0.329

Computed properties:
DOS at the Fermi energy   1.01 states/eV/atom
E_tot   -6.96 eV/atom
Total magnetic moment   2.019 μB/cell
Symmetry   No. 147
Density   3.1 g cm⁻³